A:
Entry from Alexandria via LeMat-Bulk: crystalline Nb2Al2Tc at its relaxed geometry (GGA-PBE).

The space group is I4/mmm (No. 139) and the conventional cell measures 3.679, 3.679 and 12.994 Å, with angles of 90.00, 90.00 and 90.00 degrees. The asymmetric unit holds Nb at (0.000, 0.500, 0.250), Al at (0.000, 0.000, 0.092) and Tc at (0.000, 0.000, 0.500).

The value obtained for the total moment is 0.000 μB/atom.

=====

B:
Entry from Alexandria via LeMat-Bulk: crystalline Nb2Al2Tc at its relaxed geometry (GGA-PBE).

The space group is P4/mbm (No. 127) and the conventional cell measures 6.746, 6.746 and 3.588 Å, with angles of 90.00, 90.00 and 90.00 degrees. The asymmetric unit holds Nb at (0.170, 0.330, 0.000), Al at (0.132, 0.632, 0.500) and Tc at (0.000, 0.000, 0.500).

The value obtained for the total moment is 0.000 μB/atom.

=====

Stability check: which of them is most stable? B.

=====

A:
Entry from Alexandria via LeMat-Bulk: crystalline Nb3AlTc at its relaxed geometry (GGA-PBE).

The space group is Pm-3m (No. 221) and the conventional cell measures 4.795, 4.795 and 4.795 Å, with angles of 90.00, 90.00 and 90.00 degrees. The asymmetric unit holds Nb at (0.000, 0.000, 0.500), Al at (0.500, 0.500, 0.500) and Tc at (0.000, 0.000, 0.000).

The value obtained for the total moment is 0.000 μB/atom.

=====

B:
Entry from Alexandria via LeMat-Bulk: crystalline Nb3AlTc at its relaxed geometry (GGA-PBE).

The space group is Pm-3m (No. 221) and the conventional cell measures 4.637, 4.637 and 4.637 Å, with angles of 90.00, 90.00 and 90.00 degrees. The asymmetric unit holds Nb at (0.000, 0.000, 0.500), Al at (0.000, 0.000, 0.000) and Tc at (0.500, 0.500, 0.500).

The value obtained for the total moment is 0.000 μB/atom.

=====

Stability check: which of them is most stable? A.

=====

A:
Entry from Alexandria via LeMat-Bulk: crystalline NbAl2Tc2 at its relaxed geometry (GGA-PBE).

The space group is I4/mmm (No. 139) and the conventional cell measures 4.151, 4.151 and 9.985 Å, with angles of 90.00, 90.00 and 90.00 degrees. The asymmetric unit holds Nb at (0.000, 0.000, 0.000), Al at (0.000, 0.500, 0.250) and Tc at (0.000, 0.000, 0.389).

The value obtained for the total moment is 0.000 μB/atom.

=====

B:
Entry from Alexandria via LeMat-Bulk: crystalline NbAl2Tc2 at its relaxed geometry (GGA-PBE).

The space group is P4/mbm (No. 127) and the conventional cell measures 6.998, 6.998 and 3.116 Å, with angles of 90.00, 90.00 and 90.00 degrees. The asymmetric unit holds Nb at (0.000, 0.000, 0.000), Al at (0.129, 0.371, 0.000) and Tc at (0.169, 0.669, 0.500).

The value obtained for the total moment is 0.000 μB/atom.

=====

Stability check: which of them is most stable? B.